First-principles (PBE) data for an optimized crystal structure of SmMgAlGa, as listed in Alexandria via LeMat-Bulk.

```
4
Lattice="-2.654 3.497 2.357 -4.108 -1.266 2.519 -0.022 0.177 4.979" Properties=species:S:1:pos:R:3 pbc="T T T"
Sm 0.000 0.000 0.000
Ga -1.696 0.602 2.464
Al -5.088 1.806 7.392
Mg -3.392 1.204 4.928
```

Energy in Ry per atom: -0.261
Volume in Å³ per cell: 87.5
Symmetry: F-43m
Spin magnetization in μB/atom: 0.00
Theoretical density in g cm⁻³: 5.2